# AgPt2Cl

AgPt2Cl after structural relaxation (GGA-PBE, the Alexandria database).

Values from the calculation:
Space group   Cmm2 (35)
ΔE_f (raw)   235 meV/atom
Size of the total moment   0.00 μB/atom
N(E_F)   3.5 states/eV/f.u.
DFT total energy   -15.84 eV/f.u.

abc: 2.9466 5.1974 8.9647
angles: 90.00 90.00 90.00
Sites, in units of the cell vectors:
Ag: 0.0000 0.0000 0.0000
Ag: 0.5000 0.5000 0.0000
Pt: 0.0000 0.0000 0.5087
Pt: 0.0000 0.5000 0.2628
Pt: 0.5000 0.0000 0.2628
Pt: 0.5000 0.5000 0.5087
Cl: 0.0000 0.5000 0.7406
Cl: 0.5000 0.0000 0.7406


# AgPt2Cl

AgPt2Cl after structural relaxation (GGA-PBE, the Alexandria database).

Values from the calculation:
Space group   P4/mmm (123)
ΔE_f (raw)   476 meV/atom
Size of the total moment   0.11 μB/atom
N(E_F)   5.4 states/eV/f.u.
DFT total energy   -14.88 eV/f.u.

abc: 3.6322 3.6322 6.5810
angles: 90.00 90.00 90.00
Sites, in units of the cell vectors:
Ag: 0.0000 0.0000 0.0000
Pt: 0.0000 0.5000 0.5000
Pt: 0.5000 0.0000 0.5000
Cl: 0.5000 0.5000 0.0000


# Ag3PtCl

Ag3PtCl after structural relaxation (GGA-PBE, the Alexandria database).

Values from the calculation:
Space group   Pm-3m (221)
ΔE_f (raw)   580 meV/atom
Size of the total moment   0.00 μB/atom
N(E_F)   0.8 states/eV/f.u.
DFT total energy   -13.54 eV/f.u.

abc: 5.1594 5.1594 5.1594
angles: 90.00 90.00 90.00
Sites, in units of the cell vectors:
Ag: 0.0000 0.0000 0.5000
Ag: 0.0000 0.5000 0.0000
Ag: 0.5000 0.0000 0.0000
Pt: 0.0000 0.0000 0.0000
Cl: 0.5000 0.5000 0.5000


# Ag3PtCl8

Ag3PtCl8 after structural relaxation (GGA-PBE, the Alexandria database).

Values from the calculation:
Space group   C222 (21)
ΔE_f (raw)   -427 meV/atom
Size of the total moment   0.03 μB/atom
N(E_F)   6.9 states/eV/f.u.
DFT total energy   -34.50 eV/f.u.

abc: 6.7404 6.7404 7.8209
angles: 90.00 90.00 116.12
Sites, in units of the cell vectors:
Ag: 0.0000 0.0000 0.0000
Ag: 0.0000 0.5000 0.7633
Ag: 0.5000 0.0000 0.2367
Pt: 0.0000 0.0000 0.5000
Cl: 0.2054 0.7946 0.5000
Cl: 0.2220 0.7780 0.0000
Cl: 0.2336 0.2387 0.7091
Cl: 0.2387 0.2336 0.2909
Cl: 0.7613 0.7664 0.2909
Cl: 0.7664 0.7613 0.7091
Cl: 0.7780 0.2220 0.0000
Cl: 0.7946 0.2054 0.5000


# Ag2PtCl

Ag2PtCl after structural relaxation (GGA-PBE, the Alexandria database).

Values from the calculation:
Space group   Immm (71)
ΔE_f (raw)   324 meV/atom
Size of the total moment   0.00 μB/atom
N(E_F)   1.8 states/eV/f.u.
DFT total energy   -12.29 eV/f.u.

abc: 3.0053 5.0586 9.5345
angles: 90.00 90.00 90.00
Sites, in units of the cell vectors:
Ag: 0.0000 0.0000 0.2485
Ag: 0.0000 0.0000 0.7515
Ag: 0.5000 0.5000 0.2515
Ag: 0.5000 0.5000 0.7485
Pt: 0.0000 0.5000 0.0000
Pt: 0.5000 0.0000 0.5000
Cl: 0.0000 0.5000 0.5000
Cl: 0.5000 0.0000 0.0000


# Ag2PtCl

Ag2PtCl after structural relaxation (GGA-PBE, the Alexandria database).

Values from the calculation:
Space group   R3m (160)
ΔE_f (raw)   195 meV/atom
Size of the total moment   0.00 μB/atom
N(E_F)   3.5 states/eV/f.u.
DFT total energy   -12.81 eV/f.u.

abc: 3.0378 3.0378 26.5025
angles: 90.00 90.00 120.00
Sites, in units of the cell vectors:
Ag: 0.0000 0.0000 0.0000
Ag: 0.0000 0.0000 0.2470
Ag: 0.3333 0.6667 0.6667
Ag: 0.3333 0.6667 0.9136
Ag: 0.6667 0.3333 0.3333
Ag: 0.6667 0.3333 0.5803
Pt: 0.0000 0.0000 0.4972
Pt: 0.3333 0.6667 0.1639
Pt: 0.6667 0.3333 0.8306
Cl: 0.0000 0.0000 0.7468
Cl: 0.3333 0.6667 0.4135
Cl: 0.6667 0.3333 0.0802


# Ag2PtCl7

Ag2PtCl7 after structural relaxation (GGA-PBE, the Alexandria database).

Values from the calculation:
Space group   C2/c (15)
ΔE_f (raw)   -313 meV/atom
Size of the total moment   0.00 μB/atom
N(E_F)   3.1 states/eV/f.u.
DFT total energy   -27.80 eV/f.u.

abc: 7.3601 7.3601 13.2693
angles: 111.16 111.16 72.29
Sites, in units of the cell vectors:
Ag: 0.1006 0.2050 0.0743
Ag: 0.2050 0.1006 0.5743
Ag: 0.7950 0.8994 0.4257
Ag: 0.8994 0.7950 0.9257
Pt: 0.4170 0.5830 0.2500
Pt: 0.5830 0.4170 0.7500
Cl: 0.0135 0.0223 0.8710
Cl: 0.0223 0.0135 0.3710
Cl: 0.2258 0.4226 0.2829
Cl: 0.2750 0.4536 0.0582
Cl: 0.3212 0.6788 0.7500
Cl: 0.4226 0.2258 0.7829
Cl: 0.4536 0.2750 0.5582
Cl: 0.5464 0.7250 0.4418
Cl: 0.5774 0.7742 0.2171
Cl: 0.6788 0.3212 0.2500
Cl: 0.7250 0.5464 0.9418
Cl: 0.7742 0.5774 0.7171
Cl: 0.9777 0.9865 0.6290
Cl: 0.9865 0.9777 0.1290


# Ag6PtCl12

Ag6PtCl12 after structural relaxation (GGA-PBE, the Alexandria database).

Values from the calculation:
Space group   R-3 (148)
ΔE_f (raw)   -422 meV/atom
Size of the total moment   0.00 μB/atom
N(E_F)   9.0 states/eV/f.u.
DFT total energy   -53.32 eV/f.u.

abc: 7.8672 7.8672 7.8672
angles: 90.92 90.92 90.92
Sites, in units of the cell vectors:
Ag: 0.1122 0.6178 0.8217
Ag: 0.1783 0.8878 0.3822
Ag: 0.3822 0.1783 0.8878
Ag: 0.6178 0.8217 0.1122
Ag: 0.8217 0.1122 0.6178
Ag: 0.8878 0.3822 0.1783
Pt: 0.5000 0.5000 0.5000
Cl: 0.0719 0.8985 0.6833
Cl: 0.1015 0.3167 0.9281
Cl: 0.2123 0.5466 0.4354
Cl: 0.3167 0.9281 0.1015
Cl: 0.4354 0.2123 0.5466
Cl: 0.4534 0.5646 0.7877
Cl: 0.5466 0.4354 0.2123
Cl: 0.5646 0.7877 0.4534
Cl: 0.6833 0.0719 0.8985
Cl: 0.7877 0.4534 0.5646
Cl: 0.8985 0.6833 0.0719
Cl: 0.9281 0.1015 0.3167